Entry i
Compound: Rb2Cd2Sn
Source: Alexandria via LeMat-Bulk
Functional: GGA-PBE
Structure: relaxed Values from VASP.

Output
- Spin magnetization: 0.00 μB per atom

Quantum ESPRESSO input file:
```
&SYSTEM
  ibrav = 0, nat = 10, ntyp = 3
/
ATOMIC_SPECIES
Rb 85.47 Rb.upf
Cd 112.41 Cd.upf
Sn 118.71 Sn.upf
CELL_PARAMETERS angstrom
7.871 0.000 0.000
0.000 7.871 0.000
0.000 0.000 6.030
ATOMIC_POSITIONS angstrom
Rb 1.427 2.509 0.000
Rb 2.509 6.444 0.000
Rb 5.363 1.427 0.000
Rb 6.444 5.363 0.000
Cd 1.064 5.000 3.015
Cd 2.871 1.064 3.015
Cd 5.000 6.807 3.015
Cd 6.807 2.871 3.015
Sn 0.000 0.000 3.015
Sn 3.936 3.936 3.015
```



Entry ii
Compound: Rb2Cd2Sn
Source: Alexandria via LeMat-Bulk
Functional: GGA-PBE
Structure: relaxed Values from VASP.

Output
- Spin magnetization: 0.00 μB per atom

Quantum ESPRESSO input file:
```
&SYSTEM
  ibrav = 0, nat = 10, ntyp = 3
/
ATOMIC_SPECIES
Rb 85.47 Rb.upf
Cd 112.41 Cd.upf
Sn 118.71 Sn.upf
CELL_PARAMETERS angstrom
5.798 -3.552 0.000
5.798 3.552 0.000
-1.908 0.000 9.164
ATOMIC_POSITIONS angstrom
Rb 1.431 0.865 1.381
Rb 0.477 -0.865 5.963
Rb 9.210 0.865 3.201
Rb 8.256 -0.865 7.783
Cd 3.311 0.900 4.600
Cd 4.265 -0.900 0.018
Cd 5.422 0.900 9.146
Cd 6.376 -0.900 4.564
Sn 5.321 0.832 2.291
Sn 4.367 -0.832 6.873
```



Order of stability, best first: entry ii, entry i



Entry i
Compound: Rb2Cd2Sn
Source: Alexandria via LeMat-Bulk
Functional: GGA-PBE
Structure: relaxed Values from VASP.

Output
- Spin magnetization: 0.01 μB per atom

Quantum ESPRESSO input file:
```
&SYSTEM
  ibrav = 0, nat = 10, ntyp = 3
/
ATOMIC_SPECIES
Rb 85.47 Rb.upf
Cd 112.41 Cd.upf
Sn 118.71 Sn.upf
CELL_PARAMETERS angstrom
4.121 0.000 0.000
0.000 4.121 0.000
0.000 0.000 24.036
ATOMIC_POSITIONS angstrom
Rb 0.000 0.000 2.506
Rb 0.000 0.000 21.530
Rb 2.061 2.061 9.512
Rb 2.061 2.061 14.524
Cd 0.000 2.061 6.009
Cd 0.000 2.061 18.027
Cd 2.061 0.000 6.009
Cd 2.061 0.000 18.027
Sn 0.000 0.000 12.018
Sn 2.061 2.061 0.000
```



Entry ii
Compound: Rb2Cd2Sn
Source: Alexandria via LeMat-Bulk
Functional: GGA-PBE
Structure: relaxed Values from VASP.

Output
- Spin magnetization: 0.00 μB per atom

Quantum ESPRESSO input file:
```
&SYSTEM
  ibrav = 0, nat = 10, ntyp = 3
/
ATOMIC_SPECIES
Rb 85.47 Rb.upf
Cd 112.41 Cd.upf
Sn 118.71 Sn.upf
CELL_PARAMETERS angstrom
5.654 -4.443 0.000
5.654 4.443 0.000
0.000 0.000 8.311
ATOMIC_POSITIONS angstrom
Rb 2.135 0.000 0.000
Rb 2.135 0.000 4.155
Rb 9.173 0.000 0.000
Rb 9.173 0.000 4.155
Cd 5.654 1.253 4.868
Cd 5.654 1.253 7.598
Cd 5.654 -1.253 0.713
Cd 5.654 -1.253 3.442
Sn 5.654 1.928 2.078
Sn 5.654 -1.928 6.233
```



Order of stability, best first: entry ii, entry i



Entry i
Compound: RbCd3Sn3
Source: Alexandria via LeMat-Bulk
Functional: GGA-PBE
Structure: relaxed Values from VASP.

Output
- Spin magnetization: 0.00 μB per atom

Quantum ESPRESSO input file:
```
&SYSTEM
  ibrav = 0, nat = 14, ntyp = 3
/
ATOMIC_SPECIES
Rb 85.47 Rb.upf
Cd 112.41 Cd.upf
Sn 118.71 Sn.upf
CELL_PARAMETERS angstrom
11.722 0.000 0.000
-5.861 10.152 0.000
0.000 0.000 4.497
ATOMIC_POSITIONS angstrom
Rb 0.000 6.768 1.124
Rb 5.861 3.384 3.372
Cd -0.688 3.889 3.372
Cd -2.149 8.803 3.372
Cd 3.024 2.540 1.124
Cd 2.837 7.612 3.372
Cd 8.011 1.349 1.124
Cd 6.549 6.263 1.124
Sn -3.238 6.118 3.372
Sn 2.182 4.289 3.372
Sn 4.805 0.255 1.124
Sn 1.056 9.897 3.372
Sn 3.680 5.863 1.124
Sn 9.099 4.034 1.124
```



Entry ii
Compound: RbCd3Sn3
Source: Alexandria via LeMat-Bulk
Functional: GGA-PBE
Structure: relaxed Values from VASP.

Output
- Spin magnetization: 0.00 μB per atom

Quantum ESPRESSO input file:
```
&SYSTEM
  ibrav = 0, nat = 14, ntyp = 3
/
ATOMIC_SPECIES
Rb 85.47 Rb.upf
Cd 112.41 Cd.upf
Sn 118.71 Sn.upf
CELL_PARAMETERS angstrom
4.108 2.372 8.463
-4.108 2.372 8.463
0.000 -4.744 8.463
ATOMIC_POSITIONS angstrom
Rb 0.000 0.000 4.712
Rb 0.000 0.000 20.677
Cd -1.688 -0.399 9.809
Cd -0.498 -1.661 15.581
Cd 1.189 -1.262 9.809
Cd -1.189 1.262 15.581
Cd 0.498 1.661 9.809
Cd 1.688 0.399 15.581
Sn -2.752 1.125 7.110
Sn 0.402 -2.945 7.110
Sn -2.350 -1.821 18.280
Sn 2.350 1.821 7.110
Sn -0.402 2.945 18.280
Sn 2.752 -1.125 18.280
```



Order of stability, best first: entry ii, entry i